First-principles (GGA-PBE) data for an optimized crystal structure of SiMo5, as listed in Alexandria via LeMat-Bulk.

Cell lengths 5.1692, 5.1692, 5.1692 Å; angles 60.00, 60.00, 60.00 degrees
Last column: nearest neighbours and their distance in Å.
Element x y z (fractional)
Si 0.0000 0.0000 0.0000  16 Mo 3.03-3.17
Mo 0.1234 0.6255 0.6255  6 Mo 2.57-2.60
Mo 0.2500 0.2500 0.2500  12 Mo 3.03, 4 Si 3.17
Mo 0.6255 0.6255 0.1234  6 Mo 2.57-2.60
Mo 0.6255 0.6255 0.6255  6 Mo 2.57-2.60
Mo 0.6255 0.1234 0.6255  6 Mo 2.57-2.60

## Properties
Formation energy (no corrections): 37 kJ per mole of atoms
Total magnetic moment: 0.00 Bohr magnetons per cell
Crystal system: cubic
Density of states at the Fermi level: 5.8 states/eV/f.u.


First-principles (GGA-PBE) data for an optimized crystal structure of Si3Mo, as listed in Alexandria via LeMat-Bulk.

Cell lengths 4.8099, 4.8099, 4.8099 Å; angles 90.00, 90.00, 90.00 degrees
Last column: nearest neighbours and their distance in Å.
Element x y z (fractional)
Mo 0.5000 0.5000 0.5000  12 Si 2.69
Mo 0.0000 0.0000 0.0000  12 Si 2.69
Si 0.2500 0.5000 0.0000  2 Si 2.40, 4 Mo 2.69
Si 0.0000 0.7500 0.5000  2 Si 2.40, 4 Mo 2.69
Si 0.5000 0.0000 0.7500  2 Si 2.40, 4 Mo 2.69
Si 0.5000 0.0000 0.2500  2 Si 2.40, 4 Mo 2.69
Si 0.7500 0.5000 0.0000  2 Si 2.40, 4 Mo 2.69
Si 0.0000 0.2500 0.5000  2 Si 2.40, 4 Mo 2.69

## Properties
Formation energy (no corrections): 0 kJ per mole of atoms
Total magnetic moment: 0.00 Bohr magnetons per cell
Crystal system: cubic
Density of states at the Fermi level: 0.8 states/eV/f.u.


First-principles (GGA-PBE) data for an optimized crystal structure of SiMo, as listed in Alexandria via LeMat-Bulk.

Cell lengths 2.7238, 2.7238, 8.4115 Å; angles 90.00, 90.00, 106.96 degrees
Last column: nearest neighbours and their distance in Å.
Element x y z (fractional)
Mo 0.5000 0.5000 0.7422  2 Si 2.58, 6 Mo 2.72-2.76
Mo 0.0000 0.0000 0.0078  2 Si 2.58, 6 Mo 2.72-2.76
Si 0.0000 0.0000 0.5036  2 Mo 2.58, 6 Si 2.70-2.72
Si 0.5000 0.5000 0.2464  2 Mo 2.58, 6 Si 2.70-2.72

## Properties
Formation energy (no corrections): 12 kJ per mole of atoms
Total magnetic moment: 0.00 Bohr magnetons per cell
Crystal system: orthorhombic
Density of states at the Fermi level: 1.2 states/eV/f.u.


First-principles (GGA-PBE) data for an optimized crystal structure of Si3Mo, as listed in Alexandria via LeMat-Bulk.

Cell lengths 4.3086, 4.3086, 4.3086 Å; angles 60.00, 60.00, 60.00 degrees
Last column: nearest neighbours and their distance in Å.
Element x y z (fractional)
Si 0.2500 0.2500 0.2500  4 Mo 2.64, 4 Si 2.64
Si 0.7500 0.7500 0.7500  4 Si 2.64, 4 Mo 2.64
Si 0.5000 0.5000 0.5000  8 Si 2.64
Mo 0.0000 0.0000 0.0000  8 Si 2.64

## Properties
Formation energy (no corrections): 37 kJ per mole of atoms
Total magnetic moment: 0.00 Bohr magnetons per cell
Crystal system: cubic
Density of states at the Fermi level: 1.9 states/eV/f.u.


First-principles (GGA-PBE) data for an optimized crystal structure of SiMo3, as listed in Alexandria via LeMat-Bulk.

Cell lengths 8.8950, 8.8950, 8.8950 Å; angles 18.41, 18.41, 18.41 degrees
Last column: nearest neighbours and their distance in Å.
Element x y z (fractional)
Mo 0.7462 0.7462 0.7462  3 Si 2.66, 9 Mo 2.81-2.85
Mo 0.2538 0.2538 0.2538  3 Si 2.66, 9 Mo 2.81-2.85
Mo 0.5000 0.5000 0.5000  12 Mo 2.81-2.85
Si 0.0000 0.0000 0.0000  6 Mo 2.66, 6 Si 2.85

## Properties
Formation energy (no corrections): 17 kJ per mole of atoms
Total magnetic moment: 0.00 Bohr magnetons per cell
Crystal system: trigonal
Density of states at the Fermi level: 5.2 states/eV/f.u.


First-principles (GGA-PBE) data for an optimized crystal structure of Si5Mo, as listed in Alexandria via LeMat-Bulk.

Cell lengths 6.5372, 6.5372, 4.2867 Å; angles 90.00, 90.00, 152.05 degrees
Last column: nearest neighbours and their distance in Å.
Element x y z (fractional)
Si 0.6643 0.3357 0.0000  8 Si 2.53-2.74, 2 Mo 2.58
Si 0.3353 0.6647 0.0000  8 Si 2.57-2.79, 2 Mo 2.66
Si 0.1124 0.8876 0.5000  2 Mo 2.55, 8 Si 2.55-2.74
Si 0.7703 0.2297 0.5000  10 Si 2.53-2.79
Si 0.4472 0.5528 0.5000  6 Si 2.57-2.74, 4 Mo 2.76
Mo 0.0037 0.9963 0.0000  10 Si 2.55-2.76

## Properties
Formation energy (no corrections): 20 kJ per mole of atoms
Total magnetic moment: 0.00 Bohr magnetons per cell
Crystal system: orthorhombic
Density of states at the Fermi level: 2.8 states/eV/f.u.


First-principles (GGA-PBE) data for an optimized crystal structure of SiMo, as listed in Alexandria via LeMat-Bulk.

Cell lengths 5.0110, 5.0110, 4.9543 Å; angles 90.00, 90.00, 90.00 degrees
Last column: nearest neighbours and their distance in Å.
Element x y z (fractional)
Mo 0.2116 0.7884 0.5000  6 Si 2.48-2.55
Mo 0.7116 0.7116 0.0000  6 Si 2.48-2.55
Mo 0.7884 0.2116 0.5000  6 Si 2.48-2.55
Mo 0.2884 0.2884 0.0000  6 Si 2.48-2.55
Si 0.7917 0.2083 0.0000  6 Mo 2.48-2.55
Si 0.2917 0.2917 0.5000  6 Mo 2.48-2.55
Si 0.2083 0.7917 0.0000  6 Mo 2.48-2.55
Si 0.7083 0.7083 0.5000  6 Mo 2.48-2.55

## Properties
Formation energy (no corrections): 20 kJ per mole of atoms
Total magnetic moment: 0.00 Bohr magnetons per cell
Crystal system: tetragonal
Density of states at the Fermi level: 1.9 states/eV/f.u.


First-principles (GGA-PBE) data for an optimized crystal structure of SiMo3, as listed in Alexandria via LeMat-Bulk.

Cell lengths 8.8530, 8.8530, 8.8530 Å; angles 155.34, 155.34, 35.15 degrees
Last column: nearest neighbours and their distance in Å.
Element x y z (fractional)
Mo 0.2500 0.7500 0.5000  8 Mo 2.67-2.86, 4 Si 2.84
Mo 0.7500 0.2500 0.5000  8 Mo 2.67-2.86, 4 Si 2.84
Mo 0.1225 0.1225 0.0000  4 Si 2.67, 8 Mo 2.80-2.86
Mo 0.8775 0.8775 0.0000  4 Si 2.67, 8 Mo 2.80-2.86
Mo 0.5000 0.0000 0.5000  8 Mo 2.67-2.80, 4 Si 2.83
Mo 0.0000 0.5000 0.5000  8 Mo 2.67-2.80, 4 Si 2.83
Si 0.3753 0.3753 0.0000  12 Mo 2.67-2.84
Si 0.6247 0.6247 0.0000  12 Mo 2.67-2.84

## Properties
Formation energy (no corrections): -1 kJ per mole of atoms
Total magnetic moment: 0.00 Bohr magnetons per cell
Crystal system: tetragonal
Density of states at the Fermi level: 2.9 states/eV/f.u.


First-principles (GGA-PBE) data for an optimized crystal structure of Si5Mo, as listed in Alexandria via LeMat-Bulk.

Cell lengths 4.7312, 4.7312, 4.6536 Å; angles 90.00, 90.00, 120.00 degrees
Last column: nearest neighbours and their distance in Å.
Element x y z (fractional)
Mo 0.0000 0.0000 0.0000  6 Si 2.73
Si 0.0000 0.5000 0.5000  4 Si 2.37
Si 0.5000 0.5000 0.5000  4 Si 2.37
Si 0.3333 0.6667 0.0000  9 Si 2.70-2.73, 3 Mo 2.73
Si 0.5000 0.0000 0.5000  4 Si 2.37
Si 0.6667 0.3333 0.0000  9 Si 2.70-2.73, 3 Mo 2.73

## Properties
Formation energy (no corrections): 60 kJ per mole of atoms
Total magnetic moment: 0.00 Bohr magnetons per cell
Crystal system: hexagonal
Density of states at the Fermi level: 3.4 states/eV/f.u.


First-principles (GGA-PBE) data for an optimized crystal structure of Si2Mo, as listed in Alexandria via LeMat-Bulk.

Cell lengths 4.3623, 4.3623, 2.5635 Å; angles 90.00, 90.00, 120.00 degrees
Last column: nearest neighbours and their distance in Å.
Element x y z (fractional)
Si 0.3333 0.6667 0.5000  5 Si 2.52-2.56
Si 0.6667 0.3333 0.5000  5 Si 2.52-2.56
Mo 0.0000 0.0000 0.0000  2 Mo 2.56, 12 Si 2.83

## Properties
Formation energy (no corrections): 15 kJ per mole of atoms
Total magnetic moment: 0.00 Bohr magnetons per cell
Crystal system: hexagonal
Density of states at the Fermi level: 1.0 states/eV/f.u.


First-principles (GGA-PBE) data for an optimized crystal structure of Si2Mo, as listed in Alexandria via LeMat-Bulk.

Cell lengths 5.7790, 5.7790, 4.9372 Å; angles 76.20, 76.20, 32.82 degrees
Last column: nearest neighbours and their distance in Å.
Element x y z (fractional)
Si 0.0009 0.0009 0.2611  2 Si 2.35-2.58, 4 Mo 2.58-2.59
Si 0.9991 0.9991 0.7389  2 Si 2.35-2.58, 4 Mo 2.58-2.59
Si 0.6929 0.6929 0.3846  4 Mo 2.49-2.62, 2 Si 2.51
Si 0.3071 0.3071 0.6154  4 Mo 2.49-2.62, 2 Si 2.51
Mo 0.6427 0.6427 0.9193  8 Si 2.49-2.62
Mo 0.3573 0.3573 0.0807  8 Si 2.49-2.62

## Properties
Formation energy (no corrections): -30 kJ per mole of atoms
Total magnetic moment: 0.00 Bohr magnetons per cell
Crystal system: monoclinic
Density of states at the Fermi level: 0.9 states/eV/f.u.


First-principles (GGA-PBE) data for an optimized crystal structure of Si3Mo, as listed in Alexandria via LeMat-Bulk.

Cell lengths 5.8197, 5.8197, 4.5002 Å; angles 90.00, 90.00, 129.82 degrees
Last column: nearest neighbours and their distance in Å.
Element x y z (fractional)
Si 0.8108 0.1892 0.7500  6 Si 2.54-2.70, 2 Mo 2.62
Si 0.6576 0.8634 0.2500  3 Si 2.36-2.57, 3 Mo 2.55-2.59
Si 0.3424 0.1366 0.7500  3 Si 2.36-2.57, 3 Mo 2.55-2.59
Si 0.1366 0.3424 0.2500  3 Si 2.36-2.57, 3 Mo 2.55-2.59
Si 0.1892 0.8108 0.2500  6 Si 2.54-2.70, 2 Mo 2.62
Si 0.8634 0.6576 0.7500  3 Si 2.36-2.57, 3 Mo 2.55-2.59
Mo 0.6062 0.3938 0.2500  8 Si 2.55-2.62
Mo 0.3938 0.6062 0.7500  8 Si 2.55-2.62

## Properties
Formation energy (no corrections): 4 kJ per mole of atoms
Total magnetic moment: 0.00 Bohr magnetons per cell
Crystal system: orthorhombic
Density of states at the Fermi level: 2.0 states/eV/f.u.


no.,mass density (g cm⁻³)
1,8.633
2,5.378
3,6.900
4,5.290
5,8.559
6,4.571
7,6.622
8,8.696
9,4.351
10,5.979
11,5.835
12,5.112